[1]
The following is a DFT calculation (GGA-PBE) of a relaxed CrSbRu2 crystal.

Total magnetic moment in μB/f.u.: 2.27
Mass density in Mg/m³: 10.221
Energy relative to the elements, uncorrected in kJ/mol of atoms: 10.66
DOS at the Fermi energy in states/eV/atom: 0.74

Cell lengths 3.8733, 3.8733, 8.1414 Å; angles 90.00, 90.00, 90.00 degrees
With the nearest neighbours (Å) after each atom.
Space group I-4m2 (No. 119)
One atom of each set of equivalent atoms:
Cr  0.0000  0.0000  0.0000 [2 per cell]  8 Ru 2.74-2.81, 4 Sb 2.81
Sb  0.0000  0.5000  0.2500 [2 per cell]  8 Ru 2.74-2.81, 4 Cr 2.81
Ru  0.0000  0.0000  0.5000 [2 per cell]  4 Cr 2.74, 4 Sb 2.81, 4 Ru 2.81
Ru  0.0000  0.5000  0.7500 [2 per cell]  4 Sb 2.74, 4 Cr 2.81, 4 Ru 2.81

***

[2]
The following is a DFT calculation (GGA-PBE) of a relaxed CrSbRu2 crystal.

Total magnetic moment in μB/f.u.: 2.92
Mass density in Mg/m³: 10.167
Energy relative to the elements, uncorrected in kJ/mol of atoms: 5.11
DOS at the Fermi energy in states/eV/atom: 0.84

Cell lengths 4.3553, 4.3553, 3.2366 Å; angles 90.00, 90.00, 90.00 degrees
With the nearest neighbours (Å) after each atom.
Space group P4/mmm (No. 123)
One atom of each set of equivalent atoms:
Cr  0.0000  0.0000  0.0000 [1 per cell]  8 Ru 2.71
Sb  0.5000  0.5000  0.0000 [1 per cell]  8 Ru 2.71
Ru  0.0000  0.5000  0.5000 [2 per cell]  4 Sb 2.71, 4 Cr 2.71

***

[3]
The following is a DFT calculation (GGA-PBE) of a relaxed CrSbRu2 crystal.

Total magnetic moment in μB/f.u.: 1.05
Mass density in Mg/m³: 9.910
Energy relative to the elements, uncorrected in kJ/mol of atoms: 35.83
DOS at the Fermi energy in states/eV/atom: 1.32

Cell lengths 2.9691, 2.9691, 24.7513 Å; angles 90.00, 90.00, 120.00 degrees
With the nearest neighbours (Å) after each atom.
Space group R-3m (No. 166, hexagonal axes)
One atom of each set of equivalent atoms:
Cr  0.0000  0.0000  0.0000 [3 per cell]  6 Ru 2.57
Sb  0.0000  0.0000  0.5000 [3 per cell]  6 Ru 2.79, 6 Sb 2.97
Ru  0.0000  0.0000  0.2558 [6 per cell]  3 Cr 2.57, 3 Sb 2.79

***

[4]
The following is a DFT calculation (GGA-PBE) of a relaxed Cr2SbRu crystal.

Total magnetic moment in μB/f.u.: 4.44
Mass density in Mg/m³: 8.850
Energy relative to the elements, uncorrected in kJ/mol of atoms: 30.76
DOS at the Fermi energy in states/eV/atom: 1.17

Cell lengths 2.9711, 3.7536, 5.4986 Å; angles 90.00, 90.00, 90.00 degrees
With the nearest neighbours (Å) after each atom.
Space group Pmmm (No. 47)
One atom of each set of equivalent atoms:
Cr  0.0000  0.0000  0.2309 [2 per cell]  1 Cr 2.54, 4 Ru 2.71, 4 Sb 2.81
Sb  0.5000  0.5000  0.5000 [1 per cell]  2 Ru 2.75, 8 Cr 2.81, 2 Sb 2.97
Ru  0.5000  0.5000  0.0000 [1 per cell]  8 Cr 2.71, 2 Sb 2.75, 2 Ru 2.97

***

[5]
The following is a DFT calculation (GGA-PBE) of a relaxed CrSbRu2 crystal.

Total magnetic moment in μB/f.u.: 2.94
Mass density in Mg/m³: 10.092
Energy relative to the elements, uncorrected in kJ/mol of atoms: 16.14
DOS at the Fermi energy in states/eV/atom: 1.23

Cell lengths 3.1822, 3.1822, 6.1082 Å; angles 90.00, 90.00, 90.00 degrees
With the nearest neighbours (Å) after each atom.
Space group P4/mmm (No. 123)
One atom of each set of equivalent atoms:
Cr  0.0000  0.0000  0.0000 [1 per cell]  8 Ru 2.68
Sb  0.0000  0.0000  0.5000 [1 per cell]  8 Ru 2.76, 2 Cr 3.05
Ru  0.5000  0.5000  0.2370 [2 per cell]  4 Cr 2.68, 4 Sb 2.76, 1 Ru 2.89

***

[6]
The following is a DFT calculation (GGA-PBE) of a relaxed Cr2SbRu crystal.

Total magnetic moment in μB/f.u.: 4.45
Mass density in Mg/m³: 8.000
Energy relative to the elements, uncorrected in kJ/mol of atoms: 61.47
DOS at the Fermi energy in states/eV/atom: 1.39

Cell lengths 7.0322, 7.0322, 5.4871 Å; angles 90.00, 90.00, 90.00 degrees
With the nearest neighbours (Å) after each atom.
Space group I-42d (No. 122)
One atom of each set of equivalent atoms:
Cr  0.2150  0.2500  0.1250 [8 per cell]  2 Ru 2.42
Sb  0.0000  0.0000  0.5000 [4 per cell]  2 Ru 2.74, 4 Cr 2.75
Ru  0.0000  0.0000  0.0000 [4 per cell]  4 Cr 2.42

***

[7]
The following is a DFT calculation (GGA-PBE) of a relaxed CrSbRu3 crystal.

Relative energy among the computed polymorphs in meV/atom: 0.0
Total magnetic moment in μB/f.u.: 0.00
Mass density in Mg/m³: 8.909
Energy relative to the elements, uncorrected in kJ/mol of atoms: 99.53
DOS at the Fermi energy in states/eV/atom: 1.57

Cell lengths 4.4631, 4.4631, 4.4631 Å; angles 90.00, 90.00, 90.00 degrees
With the nearest neighbours (Å) after each atom.
Space group Pm-3m (No. 221)
One atom of each set of equivalent atoms:
Cr  0.0000  0.0000  0.0000 [1 per cell]  6 Ru 2.23
Sb  0.5000  0.5000  0.5000 [1 per cell]  12 Ru 3.16
Ru  0.0000  0.0000  0.5000 [3 per cell]  2 Cr 2.23

***

[8]
The following is a DFT calculation (GGA-PBE) of a relaxed Cr2SbRu crystal.

Total magnetic moment in μB/f.u.: 0.00
Mass density in Mg/m³: 9.293
Energy relative to the elements, uncorrected in kJ/mol of atoms: 39.35
DOS at the Fermi energy in states/eV/atom: 1.26

Cell lengths 2.9524, 2.9524, 6.7000 Å; angles 90.00, 90.00, 90.00 degrees
With the nearest neighbours (Å) after each atom.
Space group P4/mmm (No. 123)
One atom of each set of equivalent atoms:
Cr  0.0000  0.0000  0.2341 [2 per cell]  4 Ru 2.61, 4 Sb 2.74
Sb  0.5000  0.5000  0.5000 [1 per cell]  8 Cr 2.74, 4 Sb 2.95
Ru  0.5000  0.5000  0.0000 [1 per cell]  8 Cr 2.61

***

[9]
The following is a DFT calculation (GGA-PBE) of a relaxed CrSbRu2 crystal.

Total magnetic moment in μB/f.u.: 2.39
Mass density in Mg/m³: 9.893
Energy relative to the elements, uncorrected in kJ/mol of atoms: 36.27
DOS at the Fermi energy in states/eV/atom: 1.23

Cell lengths 2.9161, 4.3848, 4.9408 Å; angles 90.00, 92.91, 90.00 degrees
With the nearest neighbours (Å) after each atom.
Space group P2/m (No. 10)
One atom of each set of equivalent atoms:
Cr  0.0000  0.0000  0.0000 [1 per cell]  4 Ru 2.60, 2 Sb 2.80
Sb  0.5000  0.0000  0.5000 [1 per cell]  4 Ru 2.68, 4 Cr 2.80-2.93, 2 Sb 2.92
Ru  0.2542  0.5000  0.7679 [2 per cell]  2 Cr 2.60, 2 Ru 2.64-2.79, 2 Sb 2.68

***

[10]
The following is a DFT calculation (GGA-PBE) of a relaxed CrSb2Ru crystal.

Relative energy among the computed polymorphs in meV/atom: 167.6
Total magnetic moment in μB/f.u.: 3.26
Mass density in Mg/m³: 8.733
Energy relative to the elements, uncorrected in kJ/mol of atoms: 29.11
DOS at the Fermi energy in states/eV/atom: 0.92

Cell lengths 3.2449, 3.2449, 24.8100 Å; angles 90.00, 90.00, 120.00 degrees
With the nearest neighbours (Å) after each atom.
Space group R-3m (No. 166, hexagonal axes)
One atom of each set of equivalent atoms:
Cr  0.0000  0.0000  0.0000 [3 per cell]  6 Sb 2.84
Sb  0.0000  0.0000  0.2471 [6 per cell]  3 Ru 2.74, 3 Cr 2.84
Ru  0.0000  0.0000  0.5000 [3 per cell]  6 Sb 2.74

***

[11]
The following is a DFT calculation (GGA-PBE) of a relaxed Cr2SbRu crystal.

Total magnetic moment in μB/f.u.: 1.03
Mass density in Mg/m³: 9.097
Energy relative to the elements, uncorrected in kJ/mol of atoms: 10.42
DOS at the Fermi energy in states/eV/atom: 1.05

Cell lengths 6.2026, 6.2026, 6.2026 Å; angles 90.00, 90.00, 90.00 degrees
With the nearest neighbours (Å) after each atom.
Space group F-43m (No. 216)
One atom of each set of equivalent atoms:
Cr  0.0000  0.0000  0.0000 [4 per cell]  4 Cr 2.69, 4 Sb 2.69
Cr  0.2500  0.2500  0.2500 [4 per cell]  4 Cr 2.69, 4 Ru 2.69
Sb  0.2500  0.2500  0.7500 [4 per cell]  4 Cr 2.69, 4 Ru 2.69
Ru  0.0000  0.0000  0.5000 [4 per cell]  4 Cr 2.69, 4 Sb 2.69

***

[12]
The following is a DFT calculation (GGA-PBE) of a relaxed Cr2SbRu crystal.

Total magnetic moment in μB/f.u.: 0.00
Mass density in Mg/m³: 9.037
Energy relative to the elements, uncorrected in kJ/mol of atoms: 27.53
DOS at the Fermi energy in states/eV/atom: 0.85

Cell lengths 9.1830, 2.9901, 4.5159 Å; angles 90.00, 104.39, 90.00 degrees
With the nearest neighbours (Å) after each atom.
Space group C2/m (No. 12)
One atom of each set of equivalent atoms:
Cr  0.2452  0.0000  0.1896 [4 per cell]  2 Cr 2.29
Sb  0.0000  0.0000  0.5000 [2 per cell]  4 Ru 2.71, 6 Cr 2.84-2.93, 2 Sb 2.99
Ru  0.0000  0.5000  0.0000 [2 per cell]  6 Cr 2.66-2.68, 4 Sb 2.71

***

[13]
The following is a DFT calculation (GGA-PBE) of a relaxed CrSb2Ru crystal.

Relative energy among the computed polymorphs in meV/atom: 33.8
Total magnetic moment in μB/f.u.: 2.18
Mass density in Mg/m³: 8.705
Energy relative to the elements, uncorrected in kJ/mol of atoms: 16.20
DOS at the Fermi energy in states/eV/atom: 0.55

Cell lengths 3.5906, 3.7246, 11.3139 Å; angles 90.00, 90.00, 90.00 degrees
With the nearest neighbours (Å) after each atom.
Space group Imm2 (No. 44)
One atom of each set of equivalent atoms:
Cr  0.0000  0.0000  0.0000 [2 per cell]  6 Sb 2.70-2.72
Sb  0.0000  0.0000  0.4305 [2 per cell]  2 Ru 2.67, 4 Cr 2.70
Sb  0.0000  0.5000  0.6810 [2 per cell]  2 Cr 2.72, 4 Ru 2.74
Ru  0.0000  0.5000  0.2618 [2 per cell]  6 Sb 2.67-2.74

***

[14]
The following is a DFT calculation (GGA-PBE) of a relaxed Cr4SbRu crystal.

Total magnetic moment in μB/f.u.: 0.00
Mass density in Mg/m³: 8.884
Energy relative to the elements, uncorrected in kJ/mol of atoms: 24.44
DOS at the Fermi energy in states/eV/atom: 1.10

Cell lengths 6.8548, 6.8548, 6.8548 Å; angles 90.00, 90.00, 90.00 degrees
With the nearest neighbours (Å) after each atom.
Space group F-43m (No. 216)
One atom of each set of equivalent atoms:
Cr  0.1232  0.1232  0.3768 [16 per cell]  6 Cr 2.39-2.46
Sb  0.2500  0.2500  0.7500 [4 per cell]  12 Cr 2.84, 4 Ru 2.97
Ru  0.0000  0.0000  0.0000 [4 per cell]  12 Cr 2.85, 4 Sb 2.97

***

[15]
The following is a DFT calculation (GGA-PBE) of a relaxed CrSb2Ru crystal.

Relative energy among the computed polymorphs in meV/atom: 456.7
Total magnetic moment in μB/f.u.: 3.77
Mass density in Mg/m³: 5.971
Energy relative to the elements, uncorrected in kJ/mol of atoms: 57.01
DOS at the Fermi energy in states/eV/atom: 1.04

Cell lengths 6.3299, 6.3299, 11.0096 Å; angles 90.00, 90.00, 90.00 degrees
With the nearest neighbours (Å) after each atom.
Space group I-42d (No. 122)
One atom of each set of equivalent atoms:
Cr  0.0000  0.0000  0.0000 [4 per cell]  4 Sb 2.72
Sb  0.2270  0.2500  0.6250 [8 per cell]  2 Ru 2.54, 2 Cr 2.72
Ru  0.0000  0.0000  0.5000 [4 per cell]  4 Sb 2.54